8
Lattice="5.103 0.000 0.000 1.532 6.617 0.000 1.552 0.067 6.793" Properties=species:S:1:pos:R:3 comment="GGA-PBE HgSb2As, relaxed" de_polymorph_ev_per_fu=0.16 e_form_raw_ev_per_atom=0.070 pbc="T T T"
Hg 0.000 0.000 0.000
Hg 3.154 2.687 6.023
Sb 3.172 5.671 2.654
Sb 4.890 5.236 4.949
Sb 3.492 1.765 1.766
Sb 4.905 1.035 4.255
As 1.559 3.538 3.158
As 5.132 3.895 1.203

4
Lattice="1.325 0.765 8.638 -1.325 0.765 8.638 0.000 -1.530 8.638" Properties=species:S:1:pos:R:3 comment="GGA-PBE CoCuTc2, relaxed" ef_ev_per_atom=0.2318 de_polymorph_ev_per_fu=0.43 pbc="T T T"
Co 0.000 0.000 0.000
Cu 0.000 0.000 12.956
Tc 0.000 0.000 6.568
Tc 0.000 0.000 19.345

4
Lattice="0.000 3.233 3.233 3.233 0.000 3.233 3.233 3.233 0.000" Properties=species:S:1:pos:R:3 comment="GGA-PBE Mg2TiRe, relaxed" ef_ev_per_atom=0.4773 de_polymorph_ev_per_fu=0.00 pbc="T T T"
Mg 1.616 1.616 1.616
Mg 4.849 4.849 4.849
Ti 0.000 0.000 0.000
Re 3.233 3.233 3.233

10
Lattice="7.053 0.000 0.000 0.000 4.031 0.000 -1.969 0.000 7.911" Properties=species:S:1:pos:R:3 comment="GGA-PBE RbNi2AsS, relaxed" e_form_raw_ev_per_atom=-0.442 pbc="T T T"
Rb -0.143 1.008 2.094
Rb 5.227 3.023 5.818
Ni 2.080 1.008 4.943
Ni 1.738 3.023 6.546
Ni 3.346 1.008 1.365
Ni 3.004 3.023 2.968
As 2.452 3.023 0.638
As 2.632 1.008 7.273
S 1.191 3.023 4.412
S 3.893 1.008 3.500

4
Lattice="3.503 0.000 0.000 0.000 3.503 0.000 0.000 0.000 7.753" Properties=species:S:1:pos:R:3 comment="GGA-PBE LuMg2Hg, relaxed" ef_ev_per_atom=-0.1356 de_polymorph_ev_per_fu=0.31 pbc="T T T"
Lu 0.000 0.000 0.000
Mg 1.752 1.752 2.194
Mg 1.752 1.752 5.558
Hg 0.000 0.000 3.876

10
Lattice="4.964 0.000 0.000 2.482 4.301 0.000 0.509 -0.004 7.177" Properties=species:S:1:pos:R:3 comment="GGA-PBE Mg6HIr3, relaxed" de_polymorph_ev_per_fu=0.04 pbc="T T T"
Mg 0.000 0.000 0.000
Mg 1.757 2.696 2.407
Mg 4.300 4.293 2.356
Mg 3.675 2.692 4.787
Mg 6.094 4.295 4.836
Mg 4.964 2.696 0.002
H 5.193 0.643 3.592
Ir 1.230 1.389 4.856
Ir 2.481 1.360 0.017
Ir 4.202 1.391 2.318

11
Lattice="-1.990 1.990 12.887 1.990 -1.990 12.887 1.990 1.990 -12.887" Properties=species:S:1:pos:R:3 comment="GGA-PBE Mg3Zn4Ga2Ag2, relaxed" ef_ev_per_atom=-0.0365 pbc="T T T"
Mg 0.000 0.000 0.000
Mg 0.000 0.000 5.335
Mg 0.000 0.000 20.439
Zn 1.990 0.000 2.867
Zn 1.990 0.000 10.020
Zn 0.000 1.990 2.867
Zn 0.000 1.990 10.020
Ga 0.000 0.000 11.663
Ga 0.000 0.000 14.111
Ag 0.000 0.000 8.127
Ag 0.000 0.000 17.647

4
Lattice="-1.862 1.871 5.963 1.862 -1.871 5.963 1.862 1.871 -5.963" Properties=species:S:1:pos:R:3 comment="GGA-PBE Al2SiTe, relaxed" de_polymorph_ev_per_fu=1.22 e_form_raw_ev_per_atom=0.163 pbc="T T T"
Al 0.000 0.000 0.000
Al 0.000 1.871 2.306
Si 0.000 0.000 6.461
Te 1.862 0.000 3.666

3
Lattice="4.554 0.000 0.000 -2.277 3.944 0.000 0.000 0.000 4.809" Properties=species:S:1:pos:R:3 comment="GGA-PBE SrTlSi, relaxed" de_polymorph_ev_per_fu=0.40 e_form_raw_ev_per_atom=-0.194 pbc="T T T"
Sr 0.000 0.000 0.000
Tl 2.277 1.315 2.124
Si 0.000 2.629 2.886

16
Lattice="4.273 2.467 7.785 -4.273 2.467 7.785 0.000 -4.934 7.785" Properties=species:S:1:pos:R:3 comment="GGA-PBE La8GeOs3Br4, relaxed" e_form_raw_ev_per_atom=-0.929 pbc="T T T"
La -2.244 -1.296 13.184
La 0.000 0.000 5.493
La 0.000 -2.591 10.170
La -2.244 1.296 10.170
La 2.244 -1.296 13.184
La 0.000 2.591 13.184
La 0.000 0.000 17.862
La 2.244 1.296 10.170
Ge 0.000 0.000 11.677
Os -4.273 0.000 11.677
Os -2.136 1.233 3.892
Os 2.136 1.233 3.892
Br 0.000 0.000 0.000
Br -2.136 -1.233 7.785
Br -2.136 1.233 15.570
Br 0.000 2.467 7.785

3
Lattice="3.513 0.000 0.000 -1.757 3.043 0.000 0.000 0.000 6.489" Properties=species:S:1:pos:R:3 comment="GGA-PBE CdTeRu, relaxed" de_polymorph_ev_per_fu=0.06 e_form_raw_ev_per_atom=0.086 pbc="T T T"
Cd 0.000 0.000 0.000
Te 0.000 2.028 3.544
Ru 1.757 1.014 1.990

5
Lattice="5.138 0.000 0.000 0.000 5.138 0.000 0.000 0.000 5.138" Properties=species:S:1:pos:R:3 comment="GGA-PBE ZrMoAs3, relaxed" ef_ev_per_atom=0.8670 de_polymorph_ev_per_fu=1.95 pbc="T T T"
Zr 0.000 0.000 0.000
Mo 2.569 2.569 2.569
As 0.000 0.000 2.569
As 0.000 2.569 0.000
As 2.569 0.000 0.000

5
Lattice="4.252 0.000 0.000 0.000 4.252 0.000 0.000 0.000 4.988" Properties=species:S:1:pos:R:3 comment="GGA-PBE YBeP2Cl, relaxed" de_polymorph_ev_per_fu=0.00 e_form_raw_ev_per_atom=-0.449 pbc="T T T"
Y 0.000 0.000 0.000
Be 2.126 2.126 2.494
P 0.000 2.126 2.494
P 2.126 0.000 2.494
Cl 2.126 2.126 0.000

4
Lattice="0.000 3.510 3.510 3.510 0.000 3.510 3.510 3.510 0.000" Properties=species:S:1:pos:R:3 comment="GGA-PBE DyMgSnPd, relaxed" ef_ev_per_atom=-0.6167 pbc="T T T"
Dy 0.000 0.000 0.000
Mg 3.510 3.510 3.510
Sn 1.755 1.755 1.755
Pd 5.264 5.264 5.264

6
Lattice="0.000 4.799 4.799 4.799 0.000 4.799 4.799 4.799 0.000" Properties=species:S:1:pos:R:3 comment="GGA-PBE KLa4Hg, relaxed" ef_ev_per_atom=0.3421 pbc="T T T"
K 0.000 0.000 0.000
La 5.944 3.654 3.654
La 3.654 5.944 3.654
La 3.654 3.654 5.944
La 5.944 5.944 5.944
Hg 2.400 2.400 2.400

4
Lattice="4.483 0.000 0.000 0.000 3.992 0.000 -0.666 0.000 4.724" Properties=species:S:1:pos:R:3 comment="GGA-PBE LaP2Se, relaxed" e_form_raw_ev_per_atom=-0.558 pbc="T T T"
La 0.000 0.000 0.000
P -0.333 1.996 2.362
P 1.909 0.000 2.362
Se 2.242 1.996 0.000

10
Lattice="-1.528 1.528 10.815 1.528 -1.528 10.815 1.528 1.528 -10.815" Properties=species:S:1:pos:R:3 comment="GGA-PBE MgZn4O5, relaxed" de_polymorph_ev_per_fu=1.04 e_form_raw_ev_per_atom=-1.573 pbc="T T T"
Mg 0.000 0.000 0.000
Zn 0.000 0.000 4.313
Zn 0.000 0.000 8.658
Zn 0.000 0.000 12.973
Zn 0.000 0.000 17.317
O 0.000 0.000 2.137
O 0.000 0.000 6.494
O 0.000 0.000 10.815
O 0.000 0.000 15.136
O 0.000 0.000 19.494

4
Lattice="-2.454 2.454 4.976 2.454 -2.454 4.976 2.454 2.454 -4.976" Properties=species:S:1:pos:R:3 comment="GGA-PBE Tb3Pa, relaxed" ef_ev_per_atom=0.2475 de_polymorph_ev_per_fu=0.21 pbc="T T T"
Tb 0.000 0.000 0.000
Tb 2.454 0.000 2.488
Tb 0.000 2.454 2.488
Pa 0.000 0.000 4.976

12
Lattice="9.231 -2.689 0.000 9.231 2.689 0.000 -4.471 0.000 8.659" Properties=species:S:1:pos:R:3 comment="GGA-PBE KSb2Pb3, relaxed" de_polymorph_ev_per_fu=0.00 e_form_raw_ev_per_atom=-0.118 pbc="T T T"
K 2.287 0.000 0.616
K 11.705 0.000 8.044
Sb 0.172 0.000 6.651
Sb 5.118 0.000 7.229
Sb 8.874 0.000 1.430
Sb 13.819 0.000 2.008
Pb -0.699 0.000 3.516
Pb 2.750 0.000 5.095
Pb 6.029 0.000 2.825
Pb 7.963 0.000 5.835
Pb 11.242 0.000 3.565
Pb 14.690 0.000 5.144

10
Lattice="7.422 0.000 0.000 0.000 7.422 0.000 0.000 0.000 2.942" Properties=species:S:1:pos:R:3 comment="GGA-PBE Zn2HgPd2, relaxed" ef_ev_per_atom=-0.3178 de_polymorph_ev_per_fu=0.07 pbc="T T T"
Zn 0.990 2.720 0.000
Zn 2.720 6.431 0.000
Zn 4.701 0.990 0.000
Zn 6.431 4.701 0.000
Hg 0.000 0.000 0.000
Hg 3.711 3.711 0.000
Pd 1.190 4.901 1.471
Pd 2.521 1.190 1.471
Pd 4.901 6.231 1.471
Pd 6.231 2.521 1.471

Values of final energy, in order: -3.2286; -7.7517; -5.4058; -4.7035; -2.1386; -4.2622; -2.0034; -3.8490; -3.3506; -6.2049; -4.3581; -5.7986; -5.0198; -4.4648; -3.1761; -5.3663; -4.7207; -5.5991; -3.5287; -2.9649, all in eV/atom.